PmU2Ga9: relaxed, GGA-PBE.

a = 4.2872 Å, b = 4.2872 Å, c = 12.9055 Å
α = 90.00°, β = 90.00°, γ = 90.00°
Last column: nearest neighbours and their distance in Å.
Space group P4/mmm (No. 123)
One atom of each set of equivalent atoms:
Pm 0.0000 0.0000 0.0000 x1  12 Ga 3.03-3.08
U 0.0000 0.0000 0.3352 x2  12 Ga 3.01-3.03
Ga 0.0000 0.5000 0.1719 x4  2 U 3.01, 8 Ga 3.01-3.08, 2 Pm 3.08
Ga 0.0000 0.5000 0.5000 x2  8 Ga 3.02-3.03, 4 U 3.02
Ga 0.5000 0.5000 0.0000 x1  4 Pm 3.03, 8 Ga 3.08
Ga 0.5000 0.5000 0.3354 x2  8 Ga 3.01-3.02, 4 U 3.03

Calculated values
crystal system	tetragonal
final energy	-58.609	eV/cell
energy relative to the elements	-390	kJ/mol of formula units
V	19.767	Å³/atom

***

PmVGa2: relaxed, GGA-PBE.

a = 3.4223 Å, b = 3.4223 Å, c = 6.4888 Å
α = 90.00°, β = 90.00°, γ = 90.00°
Last column: nearest neighbours and their distance in Å.
Space group P4/mmm (No. 123)
One atom of each set of equivalent atoms:
Pm 0.0000 0.0000 0.0000 x1  8 Ga 3.13, 2 V 3.24, 4 Pm 3.42
V 0.0000 0.0000 0.5000 x1  8 Ga 2.73
Ga 0.5000 0.5000 0.3068 x2  1 Ga 2.51, 4 V 2.73

Calculated values
crystal system	tetragonal
final energy	-20.783	eV/cell
ΔE to the lowest computed polymorph	22	meV/atom
energy relative to the elements	-83	kJ/mol of formula units
V	19.000	Å³/atom

***

Pm2VGa6: relaxed, GGA-PBE.

a = 5.9853 Å, b = 5.9853 Å, c = 5.6853 Å
α = 90.00°, β = 90.00°, γ = 120.00°
Last column: nearest neighbours and their distance in Å.
Space group P-3m1 (No. 164)
One atom of each set of equivalent atoms:
Pm 0.3333 0.6667 0.1717 x2  12 Ga 3.11-3.33
V 0.0000 0.0000 0.0000 x1  6 Ga 2.57
Ga 0.1753 0.3507 0.6811 x6  1 V 2.57, 4 Ga 2.75-2.84

Calculated values
crystal system	trigonal
final energy	-40.928	eV/cell
energy relative to the elements	-400	kJ/mol of formula units
V	19.598	Å³/atom

***

PmVGa2: relaxed, GGA-PBE.

a = 4.3593 Å, b = 4.3593 Å, c = 15.5675 Å
α = 90.00°, β = 90.00°, γ = 120.00°
Last column: nearest neighbours and their distance in Å.
Space group R-3m (No. 166, hexagonal axes)
One atom of each set of equivalent atoms:
Pm 0.0000 0.0000 0.0000 x3  8 Ga 3.13-3.32
V 0.0000 0.0000 0.5000 x3  6 Ga 2.62
Ga 0.0000 0.0000 0.2136 x6  3 V 2.62, 3 Ga 2.91

Calculated values
crystal system	trigonal
final energy	-62.619	eV/cell
ΔE to the lowest computed polymorph	0	meV/atom
energy relative to the elements	-92	kJ/mol of formula units
V	21.351	Å³/atom

***

PmGaW: relaxed, GGA-PBE.

a = 4.1234 Å, b = 4.3332 Å, c = 13.5831 Å
α = 90.00°, β = 90.00°, γ = 90.00°
Last column: nearest neighbours and their distance in Å.
Space group Cmmm (No. 65)
One atom of each set of equivalent atoms:
Pm 0.0000 0.0000 0.1820 x4  4 Pm 2.99, 4 Ga 3.22-3.29, 4 W 3.24-3.31
Ga 0.0000 0.0000 0.5000 x2  8 W 2.75-2.83, 4 Ga 2.99
Ga 0.0000 0.5000 0.0000 x2  4 Ga 2.99, 8 Pm 3.22-3.29
W 0.0000 0.5000 0.3664 x4  4 Ga 2.75-2.83, 4 W 2.99

Calculated values
crystal system	orthorhombic
final energy	-78.751	eV/cell
energy relative to the elements	101	kJ/mol of formula units
V	20.225	Å³/atom

***

PmYGa: relaxed, GGA-PBE.

a = 4.5105 Å, b = 4.5105 Å, c = 8.1130 Å
α = 90.00°, β = 90.00°, γ = 90.00°
Last column: nearest neighbours and their distance in Å.
Space group P4/nmm (No. 129, origin choice 2)
One atom of each set of equivalent atoms:
Pm 0.2500 0.7500 0.0000 x2  4 Ga 3.15, 4 Pm 3.19
Y 0.2500 0.2500 0.3659 x2  5 Ga 2.94-3.28
Ga 0.2500 0.2500 0.7286 x2  5 Y 2.94-3.28, 4 Pm 3.15

Calculated values
crystal system	tetragonal
final energy	-30.544	eV/cell
ΔE to the lowest computed polymorph	44	meV/atom
energy relative to the elements	-99	kJ/mol of formula units
V	27.509	Å³/atom

***

PmYGa2: relaxed, GGA-PBE.

a = 4.4142 Å, b = 4.1014 Å, c = 5.9689 Å
α = 90.00°, β = 111.67°, γ = 90.00°
Last column: nearest neighbours and their distance in Å.
Space group Pm (No. 6)
One atom of each set of equivalent atoms:
Pm 0.0000 0.0000 0.0000 x1  7 Ga 3.10-3.27
Y 0.2775 0.5000 0.5574 x1  7 Ga 3.09-3.22
Ga 0.5680 0.5000 0.1356 x1  2 Ga 2.64
Ga 0.7158 0.0000 0.4345 x1  2 Ga 2.64

Calculated values
crystal system	monoclinic
final energy	-19.800	eV/cell
energy relative to the elements	-244	kJ/mol of formula units
V	25.106	Å³/atom

***

Pm3YGa2: relaxed, GGA-PBE.

a = 5.1074 Å, b = 9.6332 Å, c = 6.6605 Å
α = 90.00°, β = 90.00°, γ = 90.00°
Last column: nearest neighbours and their distance in Å.
Space group Pmc2_1 (No. 26)
One atom of each set of equivalent atoms:
Pm 0.0000 0.0494 0.0000 x2  3 Ga 3.13-3.18, 4 Pm 3.44-3.46
Pm 0.0000 0.3311 0.3397 x2  4 Ga 3.04-3.19
Pm 0.5000 0.1757 0.7052 x2  4 Ga 3.12-3.17, 2 Pm 3.44, 1 Y 3.45
Y 0.5000 0.4466 0.0433 x2  3 Ga 3.10-3.14, 3 Pm 3.41-3.45
Ga 0.0000 0.3534 0.8155 x2  5 Pm 3.04-3.18, 2 Y 3.10
Ga 0.5000 0.1481 0.2317 x2  6 Pm 3.12-3.19, 1 Y 3.14

Calculated values
crystal system	orthorhombic
final energy	-58.456	eV/cell
ΔE to the lowest computed polymorph	0	meV/atom
energy relative to the elements	-237	kJ/mol of formula units
V	27.309	Å³/atom

***

PmY3Ga8: relaxed, GGA-PBE.

a = 5.5189 Å, b = 5.5189 Å, c = 27.3902 Å
α = 90.00°, β = 90.00°, γ = 120.00°
Last column: nearest neighbours and their distance in Å.
Space group R3m (No. 160, hexagonal axes)
One atom of each set of equivalent atoms:
Pm 0.0000 0.0000 0.0000 x3  12 Ga 3.24-3.29, 4 Y 3.40
Y 0.0000 0.0000 0.1243 x3  12 Ga 3.23-3.26, 3 Y 3.40, 1 Pm 3.40
Y 0.0000 0.0000 0.5005 x3  12 Ga 3.23-3.27, 4 Y 3.38-3.40
Y 0.0000 0.0000 0.6239 x3  12 Ga 3.24-3.31, 1 Y 3.38, 3 Pm 3.40
Ga 0.0000 0.0000 0.3119 x3  6 Ga 2.79-2.81
Ga 0.0000 0.0000 0.8125 x3  6 Ga 2.76-2.77
Ga 0.0003 0.5001 0.0629 x9  6 Ga 2.76-2.81
Ga 0.9996 0.4998 0.5615 x9  6 Ga 2.76-2.79

Calculated values
crystal system	trigonal
final energy	-165.656	eV/cell
energy relative to the elements	-662	kJ/mol of formula units
V	20.069	Å³/atom

***

PmY3Ga2: relaxed, GGA-PBE.

a = 16.2070 Å, b = 5.1058 Å, c = 8.9017 Å
α = 90.00°, β = 117.02°, γ = 90.00°
Last column: nearest neighbours and their distance in Å.
Space group C2/m (No. 12)
One atom of each set of equivalent atoms:
Pm 0.1289 0.0000 0.1887 x4  5 Ga 3.10-3.43, 2 Y 3.46
Y 0.0617 0.0000 0.7172 x4  3 Ga 3.14-3.26, 3 Y 3.45-3.48
Y 0.1248 0.5000 0.5057 x4  4 Ga 2.86-3.10
Y 0.1878 0.5000 0.9923 x4  2 Ga 2.89-3.08, 2 Y 3.22
Ga 0.0117 0.5000 0.1489 x4  1 Ga 2.50
Ga 0.2253 0.0000 0.6200 x4  5 Y 2.95-3.14

Calculated values
crystal system	monoclinic
final energy	-129.119	eV/cell
ΔE to the lowest computed polymorph	90	meV/atom
energy relative to the elements	-201	kJ/mol of formula units
V	27.343	Å³/atom

***

Pm3YGa: relaxed, GGA-PBE.

a = 12.0083 Å, b = 9.1590 Å, c = 7.8167 Å
α = 90.00°, β = 130.33°, γ = 90.00°
Last column: nearest neighbours and their distance in Å.
Space group C2/m (No. 12)
One atom of each set of equivalent atoms:
Pm 0.0592 0.0000 0.3411 x4  2 Ga 2.95-3.21
Pm 0.2421 0.3102 0.7758 x8  2 Ga 2.93-3.20
Y 0.0585 0.5000 0.2687 x4  2 Ga 2.88-3.12
Ga 0.2472 0.5000 0.1239 x4  2 Y 2.88-3.12, 6 Pm 2.93-3.21

Calculated values
crystal system	monoclinic
final energy	-96.431	eV/cell
energy relative to the elements	-35	kJ/mol of formula units
V	32.770	Å³/atom

***

PmYGa2: relaxed, GGA-PBE.

a = 3.7291 Å, b = 3.7291 Å, c = 26.1910 Å
α = 90.00°, β = 90.00°, γ = 120.00°
Last column: nearest neighbours and their distance in Å.
Space group R-3m (No. 166, hexagonal axes)
One atom of each set of equivalent atoms:
Pm 0.0000 0.0000 0.0000 x3  6 Ga 3.10
Y 0.0000 0.0000 0.5000 x3  6 Ga 3.03
Ga 0.0000 0.0000 0.2482 x6  3 Y 3.03, 3 Pm 3.10

Calculated values
crystal system	trigonal
final energy	-56.767	eV/cell
energy relative to the elements	-160	kJ/mol of formula units
V	26.285	Å³/atom